No. 1
BeCuSN2 after structural relaxation, computed with PBE-GGA.

extended XYZ file:
```
5
Lattice="-2.632 1.137 -1.496 -1.740 -0.501 2.679 1.465 6.159 2.103" Properties=species:S:1:pos:R:3 pbc="T T T"
N -1.316 0.568 -0.748
Be 0.000 0.000 0.000
Cu -1.453 3.397 1.643
N -0.870 -0.251 1.340
S 0.732 3.080 1.052
```

Output
DOS at the Fermi energy in states/eV/atom: 0.78
Formation energy (no corrections) in meV/atom: 1016
Excess energy over the best structure of this formula in the dataset in kJ per mole of atoms: 0.0
E_tot in Ha/atom: -0.173

=====

No. 2
KPCl after structural relaxation, computed with PBE-GGA.

extended XYZ file:
```
3
Lattice="3.687 0.000 0.000 -1.843 3.193 0.000 0.000 0.000 6.993" Properties=species:S:1:pos:R:3 pbc="T T T"
Cl 0.000 0.000 0.083
K 1.843 1.064 2.100
P 0.000 2.129 4.809
```

Output
DOS at the Fermi energy in states/eV/atom: 0.46
Formation energy (no corrections) in meV/atom: 138
Excess energy over the best structure of this formula in the dataset in kJ per mole of atoms: 18.4
E_tot in Ha/atom: -0.097

=====

No. 3
SrTbAs2 after structural relaxation, computed with PBE-GGA.

extended XYZ file:
```
4
Lattice="-2.234 2.686 -2.407 -1.619 -1.309 -3.696 -7.369 -1.569 1.349" Properties=species:S:1:pos:R:3 pbc="T T T"
As -8.575 -0.197 -3.477
Sr -5.611 -0.096 -2.377
As -2.647 0.005 -1.277
Tb 0.000 0.000 0.000
```

Output
DOS at the Fermi energy in states/eV/atom: 0.90
Excess energy over the best structure of this formula in the dataset in kJ per mole of atoms: 0.0
E_form in eV/atom: -1.18
E_tot in Ha/atom: -0.187

=====

No. 4
CuAsWBr2 after structural relaxation, computed with PBE-GGA.

extended XYZ file:
```
5
Lattice="4.813 0.000 0.000 0.000 4.813 0.000 0.000 0.000 4.977" Properties=species:S:1:pos:R:3 pbc="T T T"
W 2.407 2.407 2.489
Br 0.000 2.407 0.000
Br 2.407 0.000 0.000
As 0.000 0.000 2.489
Cu 0.000 0.000 0.000
```

Output
DOS at the Fermi energy in states/eV/atom: 1.31
Formation energy (no corrections) in meV/atom: 1283
Excess energy over the best structure of this formula in the dataset in kJ per mole of atoms: 47.8
E_tot in Ha/atom: -0.137

=====

No. 5
CaSiHgI2 after structural relaxation, computed with PBE-GGA.

extended XYZ file:
```
5
Lattice="-4.993 3.559 1.184 -2.386 -2.096 -3.759 -2.214 -4.388 3.853" Properties=species:S:1:pos:R:3 pbc="T T T"
I -2.497 1.780 0.592
Hg 0.000 0.000 0.000
Ca -4.797 -1.463 0.639
Si -1.193 -1.048 -1.879
I -1.107 -2.194 1.926
```

Output
DOS at the Fermi energy in states/eV/atom: 0.64
Formation energy (no corrections) in meV/atom: 136
E_tot in Ha/atom: -0.075

=====

No. 6
Ba2GaMo after structural relaxation, computed with PBE-GGA.

extended XYZ file:
```
8
Lattice="-4.923 -7.431 1.381 -1.370 -0.743 -8.884 -0.567 -5.843 -4.002" Properties=species:S:1:pos:R:3 pbc="T T T"
Ba -2.745 -7.426 -5.556
Mo 0.000 0.000 0.000
Ga -2.542 -5.337 -8.319
Ba -1.470 -2.637 -6.421
Ga -3.147 -4.087 -3.751
Ba -3.533 -6.415 -1.207
Mo -4.318 -8.680 -3.186
Ba -5.972 -11.556 -9.826
```

Output
DOS at the Fermi energy in states/eV/atom: 1.16
E_form in eV/atom: 0.92
E_tot in Ha/atom: -0.129

=====

Total magnetization, respectively: 0.000, 0.354, 0.000, 0.620, 0.306, 0.464 μB per atom.